First-principles (PBE) data for a relaxed Mn2GaHg crystal, as listed in the Alexandria database.

Cell and atoms, written as CIF:
```
data_Mn2GaHg
_chemical_formula_sum 'Mn4 Ga2 Hg2'
_cell_length_a 9.454
_cell_length_b 9.454
_cell_length_c 9.454
_cell_angle_alpha 156.72
_cell_angle_beta 156.72
_cell_angle_gamma 33.16
_space_group_name_H-M_alt 'P 1'
_space_group_IT_number 1
loop_
_space_group_symop_operation_xyz
'x,y,z'
loop_
_atom_site_label
_atom_site_type_symbol
_atom_site_fract_x
_atom_site_fract_y
_atom_site_fract_z
_atom_site_occupancy
Mn1 Mn 0.023 0.625 0.898 1
Mn2 Mn 0.375 0.273 0.398 1
Mn3 Mn 0.727 0.125 0.102 1
Mn4 Mn 0.875 0.977 0.602 1
Ga1 Ga 0.000 0.000 0.000 1
Ga2 Ga 0.750 0.250 0.500 1
Hg1 Hg 0.250 0.750 0.500 1
Hg2 Hg 0.500 0.500 0.000 1
```

## Properties
Spin magnetization = 3.15 Bohr magnetons per cell
DFT formation energy = 699 meV/atom
E = -18.87 eV/f.u.


First-principles (PBE) data for a relaxed MnGa2Hg2 crystal, as listed in the Alexandria database.

Cell and atoms, written as CIF:
```
data_MnGa2Hg2
_chemical_formula_sum 'Mn1 Ga2 Hg2'
_cell_length_a 8.415
_cell_length_b 8.415
_cell_length_c 8.415
_cell_angle_alpha 154.87
_cell_angle_beta 154.87
_cell_angle_gamma 35.84
_space_group_name_H-M_alt 'P 1'
_space_group_IT_number 1
loop_
_space_group_symop_operation_xyz
'x,y,z'
loop_
_atom_site_label
_atom_site_type_symbol
_atom_site_fract_x
_atom_site_fract_y
_atom_site_fract_z
_atom_site_occupancy
Mn1 Mn 0.000 0.000 0.000 1
Ga1 Ga 0.250 0.750 0.500 1
Ga2 Ga 0.750 0.250 0.500 1
Hg1 Hg 0.404 0.404 0.000 1
Hg2 Hg 0.596 0.596 0.000 1
```

## Properties
Spin magnetization = 4.23 Bohr magnetons per cell
Energy relative to the lowest polymorph listed for this composition = 0.000 eV per formula unit
DFT formation energy = 304 meV/atom
E = -14.30 eV/f.u.